(1)
Material: La8Ga2Pd
Method: DFT, GGA-PBE
State: optimized geometry

Values from the calculation:
**Energy relative to the elements**: -0.359 eV/atom
**Density of states at the Fermi level**: 1.01 states/eV/atom
**Raw total energy**: -54.6 eV/f.u.
**V**: 338.0 Å³ per cell

```
La8Ga2Pd
1.0
-2.1316 4.1417 2.2287
-6.0058 -3.4982 0.7566
5.9356 -3.9384 7.0136
La Ga Pd
8 2 1
Direct
0.6584 0.9714 0.3168
0.0204 0.7845 0.0408
0.4080 0.5428 0.8160
0.3416 0.0286 0.6832
0.2092 0.3011 0.4184
0.5920 0.4572 0.1840
0.7908 0.6989 0.5816
0.9796 0.2155 0.9592
0.1830 0.7323 0.3660
0.8170 0.2677 0.6340
0.5000 0.0000 0.0000
```

(2)
Material: SrHf2FeRh
Method: DFT, GGA-PBE
State: optimized geometry

Values from the calculation:
**Energy relative to the elements**: 2.467 eV/atom
**Density of states at the Fermi level**: 1.76 states/eV/atom
**Raw total energy**: -25.1 eV/f.u.
**V**: 118.7 Å³ per cell

```
SrHf2FeRh
1.0
5.0640 0.0000 0.0000
0.0000 4.6288 0.0000
0.0000 0.0000 5.0640
Fe Hf Sr Rh
1 2 1 1
Direct
0.5000 0.5000 0.5000
0.5000 0.0000 0.0000
0.0000 0.0000 0.5000
0.0000 0.0000 0.0000
0.0000 0.5000 0.0000
```

(3)
Material: SrAlOs2
Method: DFT, GGA-PBE
State: optimized geometry

Values from the calculation:
**Energy relative to the elements**: 0.412 eV/atom
**Density of states at the Fermi level**: 1.06 states/eV/atom
**Raw total energy**: -26.2 eV/f.u.
**V**: 83.6 Å³ per cell

```
SrAlOs2
1.0
-5.3818 1.3590 -1.6573
-4.5751 -0.7818 -3.4663
-4.1304 -3.3307 2.0996
Al Os Sr
1 2 1
Direct
0.3045 0.3045 0.1431
0.0111 0.0111 0.9539
0.7056 0.7056 0.9134
0.4787 0.4787 0.4897
```

(4)
Material: CePrInPd
Method: DFT, GGA-PBE
State: optimized geometry

Values from the calculation:
**Energy relative to the elements**: -0.419 eV/atom
**Density of states at the Fermi level**: 2.33 states/eV/atom
**Raw total energy**: -20.3 eV/f.u.
**V**: 107.2 Å³ per cell

```
CePrInPd
1.0
5.3315 0.0000 0.0000
2.6658 4.6172 0.0000
2.6658 1.5391 4.3532
Ce Pr Pd In
1 1 1 1
Direct
0.7500 0.7500 0.7500
0.2500 0.2500 0.2500
0.5000 0.5000 0.5000
0.0000 0.0000 0.0000
```

(5)
Material: Li2ZnRu
Method: DFT, GGA-PBE
State: optimized geometry

Values from the calculation:
**Energy relative to the elements**: 0.010 eV/atom
**Density of states at the Fermi level**: 0.52 states/eV/atom
**Raw total energy**: -14.3 eV/f.u.
**V**: 55.6 Å³ per cell

```
Li2ZnRu
1.0
4.3083 0.0000 0.0000
0.0000 2.4993 0.0166
0.0000 1.0220 5.1696
Li Zn Ru
2 1 1
Direct
0.0000 0.0504 0.0099
0.5000 0.1716 0.2510
0.5000 0.8118 0.7289
0.0000 0.4663 0.5102
```

(6)
Material: NpCrSe2
Method: DFT, GGA-PBE
State: optimized geometry

Values from the calculation:
**Density of states at the Fermi level**: 2.86 states/eV/atom
**Raw total energy**: -31.9 eV/f.u.
**V**: 89.0 Å³ per cell

```
NpCrSe2
1.0
4.1098 0.0000 0.0000
2.0549 3.5592 0.0000
2.0549 1.1864 6.0872
Np Se Cr
1 2 1
Direct
0.5000 0.5000 0.5000
0.2572 0.2572 0.2284
0.7428 0.7428 0.7716
0.0000 0.0000 0.0000
```

(7)
Material: Ca2CrReRh
Method: DFT, GGA-PBE
State: optimized geometry

Values from the calculation:
**Energy relative to the elements**: 1.177 eV/atom
**Density of states at the Fermi level**: 1.08 states/eV/atom
**Raw total energy**: -27.5 eV/f.u.
**V**: 123.5 Å³ per cell

```
Ca2CrReRh
1.0
5.3134 0.0000 0.0000
0.0000 4.3743 0.0000
0.0000 0.0000 5.3134
Rh Re Ca Cr
1 1 2 1
Direct
0.5000 0.5000 0.5000
0.0000 0.5000 0.0000
0.5000 0.0000 0.0000
0.0000 0.0000 0.5000
0.0000 0.0000 0.0000
```

(8)
Material: Ca4CdTe5
Method: DFT, GGA-PBE
State: optimized geometry

Values from the calculation:
**Raw total energy**: -38.2 eV/f.u.
**V**: 319.5 Å³ per cell

```
Ca4CdTe5
1.0
0.3836 -0.0286 4.4748
2.8237 -2.8678 1.9936
14.4437 11.4617 1.0891
Ca Cd Te
4 1 5
Direct
0.7005 0.7005 0.8985
0.8985 0.8985 0.3044
0.2995 0.2995 0.1015
0.1015 0.1015 0.6956
0.5000 0.5000 0.5000
0.5990 0.5990 0.2029
0.8025 0.8025 0.5924
0.0000 0.0000 0.0000
0.4010 0.4010 0.7971
0.1975 0.1975 0.4076
```